## BaNpAg2S4 (PBE)

Data for a relaxed BaNpAg2S4 crystal.

Cell and atoms, written as CIF:
```
data_BaNpAg2S4
_cell_length_a 6.761
_cell_length_b 7.343
_cell_length_c 8.364
_cell_angle_alpha 90.00
_cell_angle_beta 90.00
_cell_angle_gamma 90.00
_space_group_name_H-M_alt 'I 2 2 2'
_space_group_IT_number 23
loop_
_space_group_symop_operation_xyz
'x,y,z'
'-x,-y,z'
'x,-y,-z'
'-x,y,-z'
'x+1/2,y+1/2,z+1/2'
'-x+1/2,-y+1/2,z+1/2'
'x+1/2,-y+1/2,-z+1/2'
'-x+1/2,y+1/2,-z+1/2'
loop_
_atom_site_label
_atom_site_type_symbol
_atom_site_fract_x
_atom_site_fract_y
_atom_site_fract_z
_atom_site_occupancy
Ba1 Ba 0.000 0.000 0.000 1
Np1 Np 0.000 0.000 0.500 1
Ag1 Ag 0.000 0.500 0.177 1
S1 S 0.214 0.208 0.316 1
```

Values from the calculation:
- E_form (uncorrected): -909 meV/atom
- Uncorrected energy: -88.7 eV per cell
- Total magnetization: 6.2 Bohr magnetons per cell

## Ba2NpAgS6 (PBE)

Data for a relaxed Ba2NpAgS6 crystal.

Cell and atoms, written as CIF:
```
data_Ba2NpAgS6
_cell_length_a 5.095
_cell_length_b 5.095
_cell_length_c 10.164
_cell_angle_alpha 90.00
_cell_angle_beta 90.00
_cell_angle_gamma 90.00
_space_group_name_H-M_alt 'P 4/m m m'
_space_group_IT_number 123
_space_group_name_Hall '-P 4 2'
loop_
_atom_site_label
_atom_site_type_symbol
_atom_site_fract_x
_atom_site_fract_y
_atom_site_fract_z
_atom_site_occupancy
Ba1 Ba 0.000 0.000 0.209 1
Np1 Np 0.500 0.500 0.500 1
Ag1 Ag 0.500 0.500 0.000 1
S1 S 0.000 0.500 0.000 1
S2 S 0.000 0.500 0.500 1
S3 S 0.500 0.500 0.258 1
```

Values from the calculation:
- E_form (uncorrected): -1173 meV/atom
- Uncorrected energy: -56.1 eV per cell
- Total magnetization: 1.5 Bohr magnetons per cell

## BaNp2Ag2S7 (PBE)

Data for a relaxed BaNp2Ag2S7 crystal.

Cell and atoms, written as CIF:
```
data_BaNp2Ag2S7
_cell_length_a 5.176
_cell_length_b 5.231
_cell_length_c 21.787
_cell_angle_alpha 90.00
_cell_angle_beta 90.00
_cell_angle_gamma 90.00
_space_group_name_H-M_alt 'I m m m'
_space_group_IT_number 71
_space_group_name_Hall '-I 2 2'
loop_
_atom_site_label
_atom_site_type_symbol
_atom_site_fract_x
_atom_site_fract_y
_atom_site_fract_z
_atom_site_occupancy
Ba1 Ba 0.000 0.000 0.000 1
Np1 Np 0.000 0.000 0.381 1
Ag1 Ag 0.000 0.500 0.273 1
S1 S 0.000 0.000 0.262 1
S2 S 0.000 0.000 0.500 1
S3 S 0.000 0.500 0.105 1
S4 S 0.000 0.500 0.393 1
```

Values from the calculation:
- E_form (uncorrected): -1001 meV/atom
- Uncorrected energy: -148.8 eV per cell
- Total magnetization: 8.7 Bohr magnetons per cell

## BaNpAgS4 (PBE)

Data for a relaxed BaNpAgS4 crystal.

Cell and atoms, written as CIF:
```
data_BaNpAgS4
_cell_length_a 6.837
_cell_length_b 6.811
_cell_length_c 7.755
_cell_angle_alpha 90.00
_cell_angle_beta 91.26
_cell_angle_gamma 90.00
_space_group_name_H-M_alt 'P 1 21/m 1'
_space_group_IT_number 11
loop_
_space_group_symop_operation_xyz
'x,y,z'
'-x,-y,-z'
'-x,y+1/2,-z'
'x,-y+1/2,z'
loop_
_atom_site_label
_atom_site_type_symbol
_atom_site_fract_x
_atom_site_fract_y
_atom_site_fract_z
_atom_site_occupancy
Ba1 Ba 0.229 0.250 0.058 1
Np1 Np 0.173 0.750 0.455 1
Ag1 Ag 0.339 0.250 0.628 1
S1 S 0.065 0.502 0.712 1
S2 S 0.364 0.750 0.165 1
S3 S 0.482 0.750 0.638 1
```

Values from the calculation:
- E_form (uncorrected): -1117 meV/atom
- Uncorrected energy: -84.1 eV per cell
- Total magnetization: 4.0 Bohr magnetons per cell

## Ba2NpAg2Se6 (PBE)

Data for a relaxed Ba2NpAg2Se6 crystal.

Cell and atoms, written as CIF:
```
data_Ba2NpAg2Se6
_cell_length_a 7.9984
_cell_length_b 7.9984
_cell_length_c 19.0292
_cell_angle_alpha 90.00
_cell_angle_beta 90.00
_cell_angle_gamma 120.00
_space_group_name_H-M_alt 'R -3 m'
_space_group_IT_number 166
_space_group_name_Hall '-R 3 2"'
loop_
_atom_site_label
_atom_site_type_symbol
_atom_site_fract_x
_atom_site_fract_y
_atom_site_fract_z
_atom_site_occupancy
Ba1 Ba 0.0000 0.0000 0.2261 1
Np1 Np 0.0000 0.0000 0.0000 1
Ag1 Ag 0.0000 0.0000 0.4210 1
Se1 Se 0.0320 0.5160 0.7556 1
```

Values from the calculation:
- E_form (uncorrected): -923 meV/atom
- Uncorrected energy: -160.6 eV per cell
- Total magnetization: 2.9 Bohr magnetons per cell

## BaNpAg2Se4 (PBE)

Data for a relaxed BaNpAg2Se4 crystal.

Cell and atoms, written as CIF:
```
data_BaNpAg2Se4
_cell_length_a 7.039
_cell_length_b 7.656
_cell_length_c 8.588
_cell_angle_alpha 90.00
_cell_angle_beta 90.00
_cell_angle_gamma 90.00
_space_group_name_H-M_alt 'I 2 2 2'
_space_group_IT_number 23
loop_
_space_group_symop_operation_xyz
'x,y,z'
'-x,-y,z'
'x,-y,-z'
'-x,y,-z'
'x+1/2,y+1/2,z+1/2'
'-x+1/2,-y+1/2,z+1/2'
'x+1/2,-y+1/2,-z+1/2'
'-x+1/2,y+1/2,-z+1/2'
loop_
_atom_site_label
_atom_site_type_symbol
_atom_site_fract_x
_atom_site_fract_y
_atom_site_fract_z
_atom_site_occupancy
Ba1 Ba 0.000 0.000 0.000 1
Np1 Np 0.000 0.000 0.500 1
Ag1 Ag 0.000 0.500 0.170 1
Se1 Se 0.216 0.214 0.311 1
```

Values from the calculation:
- E_form (uncorrected): -823 meV/atom
- Uncorrected energy: -82.2 eV per cell
- Total magnetization: 6.5 Bohr magnetons per cell

## Ba2NpAgTe4 (PBE)

Data for a relaxed Ba2NpAgTe4 crystal.

Cell and atoms, written as CIF:
```
data_Ba2NpAgTe4
_cell_length_a 8.122
_cell_length_b 4.709
_cell_length_c 8.251
_cell_angle_alpha 90.00
_cell_angle_beta 110.74
_cell_angle_gamma 90.00
_space_group_name_H-M_alt 'P 1 2/m 1'
_space_group_IT_number 10
loop_
_space_group_symop_operation_xyz
'x,y,z'
'-x,-y,-z'
'-x,y,-z'
'x,-y,z'
loop_
_atom_site_label
_atom_site_type_symbol
_atom_site_fract_x
_atom_site_fract_y
_atom_site_fract_z
_atom_site_occupancy
Ba1 Ba 0.000 0.000 0.000 1
Ba2 Ba 0.000 0.500 0.500 1
Np1 Np 0.500 0.000 0.500 1
Ag1 Ag 0.500 0.500 0.000 1
Te1 Te 0.278 0.500 0.269 1
Te2 Te 0.293 0.000 0.764 1
```

Values from the calculation:
- E_form (uncorrected): -994 meV/atom
- Uncorrected energy: -40.2 eV per cell
- Total magnetization: 4.0 Bohr magnetons per cell

## Ba3NpAg2Te6 (PBE)

Data for a relaxed Ba3NpAg2Te6 crystal.

Cell and atoms, written as CIF:
```
data_Ba3NpAg2Te6
_cell_length_a 8.4744
_cell_length_b 8.4744
_cell_length_c 8.7813
_cell_angle_alpha 90.00
_cell_angle_beta 90.00
_cell_angle_gamma 120.00
_space_group_name_H-M_alt 'P -3 m 1'
_space_group_IT_number 164
_space_group_name_Hall '-P 3 2"'
loop_
_atom_site_label
_atom_site_type_symbol
_atom_site_fract_x
_atom_site_fract_y
_atom_site_fract_z
_atom_site_occupancy
Ba1 Ba 0.0000 0.0000 0.0000 1
Ba2 Ba 0.3333 0.6667 0.5776 1
Np1 Np 0.0000 0.0000 0.5000 1
Ag1 Ag 0.3333 0.6667 0.1671 1
Te1 Te 0.1627 0.3254 0.2904 1
```

Values from the calculation:
- E_form (uncorrected): -804 meV/atom
- Uncorrected energy: -52.9 eV per cell
- Total magnetization: 3.0 Bohr magnetons per cell

## BaNp4Ag3Te12 (PBE)

Data for a relaxed BaNp4Ag3Te12 crystal.

Cell and atoms, written as CIF:
```
data_BaNp4Ag3Te12
_cell_length_a 11.165
_cell_length_b 11.165
_cell_length_c 11.165
_cell_angle_alpha 90.00
_cell_angle_beta 90.00
_cell_angle_gamma 90.00
_space_group_name_H-M_alt 'I m -3'
_space_group_IT_number 204
_space_group_name_Hall '-I 2 2 3'
loop_
_atom_site_label
_atom_site_type_symbol
_atom_site_fract_x
_atom_site_fract_y
_atom_site_fract_z
_atom_site_occupancy
Ba1 Ba 0.000 0.000 0.000 1
Np1 Np 0.250 0.250 0.250 1
Ag1 Ag 0.000 0.000 0.500 1
Te1 Te 0.000 0.307 0.167 1
```

Values from the calculation:
- E_form (uncorrected): -418 meV/atom
- Uncorrected energy: -216.6 eV per cell
- Total magnetization: 22.4 Bohr magnetons per cell

## Ba2NpAgTe5 (PBE)

Data for a relaxed Ba2NpAgTe5 crystal.

Cell and atoms, written as CIF:
```
data_Ba2NpAgTe5
_cell_length_a 4.608
_cell_length_b 20.195
_cell_length_c 13.952
_cell_angle_alpha 90.00
_cell_angle_beta 90.00
_cell_angle_gamma 90.00
_space_group_name_H-M_alt 'C m c 21'
_space_group_IT_number 36
loop_
_space_group_symop_operation_xyz
'x,y,z'
'-x,-y,z+1/2'
'-x,y,z'
'x,-y,z+1/2'
'x+1/2,y+1/2,z'
'-x+1/2,-y+1/2,z+1/2'
'-x+1/2,y+1/2,z'
'x+1/2,-y+1/2,z+1/2'
loop_
_atom_site_label
_atom_site_type_symbol
_atom_site_fract_x
_atom_site_fract_y
_atom_site_fract_z
_atom_site_occupancy
Ba1 Ba 0.000 0.118 0.000 1
Ba2 Ba 0.000 0.119 0.628 1
Np1 Np 0.000 0.198 0.321 1
Ag1 Ag 0.000 0.432 0.737 1
Te1 Te 0.000 0.052 0.348 1
Te2 Te 0.000 0.297 0.965 1
Te3 Te 0.000 0.299 0.673 1
Te4 Te 0.000 0.347 0.315 1
Te5 Te 0.000 0.499 0.065 1
```

Values from the calculation:
- E_form (uncorrected): -994 meV/atom
- Uncorrected energy: -177.2 eV per cell
- Total magnetization: 9.8 Bohr magnetons per cell

> uncorrected energy of number 8 (Ba3NpAg2Te6)?

-52.9 eV per cell

> Which formula does entry 8 have?

Ba3NpAg2Te6